1.
A relaxed structure of TlHgN3. Source: Alexandria via LeMat-Bulk, functional PBE.

Cell: 4.3935 4.3935 4.3935 Å, 90.00 90.00 90.00°
Last column: nearest neighbours and their distance in Å.
Element x y z (fractional)
Tl1 0.0000 0.0000 0.0000  12 N 3.11
Hg1 0.5000 0.5000 0.5000  6 N 2.20
N1 0.0000 0.5000 0.5000  2 Hg 2.20
N2 0.5000 0.0000 0.5000  2 Hg 2.20
N3 0.5000 0.5000 0.0000  2 Hg 2.20

Properties
* V: 16.96 Å³/atom
* DOS at the Fermi energy: 1.50 states/eV/cell

2.
A relaxed structure of LiNi2As. Source: Alexandria via LeMat-Bulk, functional PBE.

Cell: 3.5626 3.5626 8.5677 Å, 90.00 90.00 90.00°
Last column: nearest neighbours and their distance in Å.
Element x y z (fractional)
Li1 0.2500 0.2500 0.2358  1 Ni 2.49, 4 As 2.61
Li2 0.7500 0.7500 0.7642  1 Ni 2.49, 4 As 2.61
Ni1 0.2500 0.2500 0.9454  1 As 2.25, 1 Li 2.49
Ni2 0.2500 0.7500 0.5000  4 As 2.37, 4 Ni 2.52
Ni3 0.7500 0.2500 0.5000  4 As 2.37, 4 Ni 2.52
Ni4 0.7500 0.7500 0.0546  1 As 2.25, 1 Li 2.49
As1 0.2500 0.2500 0.6826  5 Ni 2.25-2.37
As2 0.7500 0.7500 0.3174  5 Ni 2.25-2.37

Properties
* V: 13.59 Å³/atom
* DOS at the Fermi energy: 8.63 states/eV/cell

3.
A relaxed structure of KLiSbTe3. Source: Alexandria via LeMat-Bulk, functional PBE.

Cell: 9.8899 4.6271 10.1702 Å, 90.00 116.28 90.00°
Last column: nearest neighbours and their distance in Å.
Element x y z (fractional)
K1 0.2264 0.2500 0.2359  7 Te 3.61-3.80, 1 Li 4.01
K2 0.7736 0.7500 0.7641  7 Te 3.61-3.80, 1 Li 4.01
Li1 0.1051 0.2500 0.5640  4 Te 2.70-2.78, 2 Li 3.00
Li2 0.8949 0.7500 0.4360  4 Te 2.70-2.78, 2 Li 3.00
Sb1 0.3210 0.7500 0.8356  6 Te 3.03-3.16
Sb2 0.6790 0.2500 0.1644  6 Te 3.03-3.16
Te1 0.1043 0.2500 0.8368  1 Li 2.78
Te2 0.1976 0.7500 0.4942  3 Li 2.70-2.78
Te3 0.4742 0.7500 0.1682  3 Sb 3.03-3.09
Te4 0.5258 0.2500 0.8318  3 Sb 3.03-3.09
Te5 0.8024 0.2500 0.5058  3 Li 2.70-2.78
Te6 0.8957 0.7500 0.1632  1 Li 2.78

Properties
* V: 34.77 Å³/atom
* DOS at the Fermi energy: 3.80 states/eV/cell

What are the E_tot values for these records? In order: -3.23, -4.72, -3.30 eV/atom.